1.
First-principles (PBE) data for an optimized crystal structure of Pm4NdTm7, as listed in Alexandria.

Calculated values
As for the calculated formation energy: 0.263 eV/atom. Its total energy is -4.326 eV/atom. The value obtained for the energy above the lowest structure with this stoichiometry is 187 meV per atom.

Cell: 5.8556 11.5938 6.7240 Å, 83.20 64.19 75.37°
Positions (direct):
Tm  0.6328  0.5031  0.2312
Tm  0.9329  0.3180  0.8161
Pm  0.2287  0.3302  0.2124
Pm  0.3645  0.7767  0.4943
Tm  0.3672  0.4969  0.7688
Tm  0.0671  0.6820  0.1839
Tm  0.2109  0.0768  0.5014
Nd  0.0000  0.0000  0.0000
Pm  0.7713  0.6698  0.7876
Tm  0.7891  0.9232  0.4986
Pm  0.6355  0.2233  0.5057
Tm  0.5000  0.0000  0.0000

***

2.
First-principles (PBE) data for an optimized crystal structure of PmNd2Tm, as listed in Alexandria.

Calculated values
As for the calculated formation energy: 0.017 eV/atom. Its total energy is -4.673 eV/atom. The value obtained for the energy above the lowest structure with this stoichiometry is 1 meV per atom.

Cell: 3.6304 3.6304 11.9559 Å, 81.27 81.27 60.00°
Positions (direct):
Pm  0.0000  0.0000  0.0000
Nd  0.7516  0.7516  0.7451
Tm  0.5000  0.5000  0.5000
Nd  0.2484  0.2484  0.2549

***

> Which of these has the highest energy above the lowest structure with this stoichiometry?

Pm4NdTm7